VASP calculation (PBE) on a relaxed La3PuRh3 crystal.

DOS at the Fermi energy, states/eV/f.u.: 15.9
Symmetry: Pnma, No. 62
ΔE to the lowest computed polymorph, eV/atom: 0.000
E_form, eV per atom: -0.56

Structure (CIF):
```
data_La3PuRh3
_chemical_formula_sum 'La12 Pu4 Rh12'
_symmetry_space_group_name_H-M 'P 1'
_symmetry_Int_Tables_number 1
_cell_length_a 4.152
_cell_length_b 12.280
_cell_length_c 14.170
_cell_angle_alpha 90.00
_cell_angle_beta 90.00
_cell_angle_gamma 90.00
loop_
_symmetry_equiv_pos_as_xyz
'x,y,z'
loop_
_atom_site_label
_atom_site_type_symbol
_atom_site_fract_x
_atom_site_fract_y
_atom_site_fract_z
La1 La 0.750 0.750 0.805
La2 La 0.250 0.750 0.305
La3 La 0.250 0.250 0.195
La4 La 0.750 0.250 0.695
La5 La 0.750 0.183 0.976
La6 La 0.250 0.317 0.476
La7 La 0.250 0.817 0.024
La8 La 0.750 0.683 0.524
La9 La 0.750 0.949 0.601
La10 La 0.250 0.551 0.101
La11 La 0.250 0.051 0.399
La12 La 0.750 0.449 0.899
Pu1 Pu 0.750 0.981 0.187
Pu2 Pu 0.250 0.519 0.687
Pu3 Pu 0.250 0.019 0.813
Pu4 Pu 0.750 0.481 0.313
Rh1 Rh 0.750 0.953 0.931
Rh2 Rh 0.250 0.547 0.431
Rh3 Rh 0.250 0.047 0.069
Rh4 Rh 0.750 0.453 0.569
Rh5 Rh 0.750 0.893 0.385
Rh6 Rh 0.250 0.607 0.885
Rh7 Rh 0.250 0.107 0.615
Rh8 Rh 0.750 0.393 0.115
Rh9 Rh 0.750 0.734 0.165
Rh10 Rh 0.250 0.766 0.665
Rh11 Rh 0.250 0.266 0.835
Rh12 Rh 0.750 0.234 0.335
```